[1]
Entry from Alexandria via LeMat-Bulk: Pr2PPd after structural relaxation (PBE).

The space group is R3m (No. 160, hexagonal axes) and the conventional cell measures 4.1239, 4.1239 and 21.8968 Å, with angles of 90.00, 90.00 and 120.00 degrees. The distinct sites, in fractional coordinates, are Pr at (0.0000, 0.0000, 0.0000), Pr at (0.0000, 0.0000, 0.1782), P at (0.0000, 0.0000, 0.5883) and Pd at (0.0000, 0.0000, 0.4229).

The calculation puts the energy above the lowest structure with this stoichiometry at 0.0000 eV per atom. For the density of states at the Fermi level, the calculation gives 0.914 states/eV per atom. As for the magnetic moment: 0.00 μB/f.u. As for the crystal system: trigonal.

---

[2]
Entry from Alexandria via LeMat-Bulk: Ca6Bi3Sb after structural relaxation (PBE).

The space group is R-3c (No. 167, hexagonal axes) and the conventional cell measures 13.5367, 13.5367 and 15.4505 Å, with angles of 90.00, 90.00 and 120.00 degrees. The distinct sites, in fractional coordinates, are Ca at (0.0557, 0.2248, 0.4111), Bi at (0.0000, 0.3428, 0.2500) and Sb at (0.0000, 0.0000, 0.0000).

The calculation puts the energy above the lowest structure with this stoichiometry at 0.0000 eV per atom. As for the magnetic moment: 0.00 μB/f.u. As for the crystal system: trigonal.

---

[3]
Entry from Alexandria via LeMat-Bulk: Ta3PW after structural relaxation (PBE).

The space group is Pm-3m (No. 221) and the conventional cell measures 4.543, 4.543 and 4.543 Å, with angles of 90.00, 90.00 and 90.00 degrees. The distinct sites, in fractional coordinates, are Ta at (0.000, 0.000, 0.500), P at (0.000, 0.000, 0.000) and W at (0.500, 0.500, 0.500).

The calculation puts the energy above the lowest structure with this stoichiometry at 0.0000 eV per atom. For the density of states at the Fermi level, the calculation gives 0.944 states/eV per atom. As for the magnetic moment: 0.00 μB/f.u. As for the crystal system: cubic.

---

Copy entry 3 word for word.
Entry from Alexandria via LeMat-Bulk: Ta3PW after structural relaxation (PBE).

The space group is Pm-3m (No. 221) and the conventional cell measures 4.543, 4.543 and 4.543 Å, with angles of 90.00, 90.00 and 90.00 degrees. The distinct sites, in fractional coordinates, are Ta at (0.000, 0.000, 0.500), P at (0.000, 0.000, 0.000) and W at (0.500, 0.500, 0.500).

The calculation puts the energy above the lowest structure with this stoichiometry at 0.0000 eV per atom. For the density of states at the Fermi level, the calculation gives 0.944 states/eV per atom. As for the magnetic moment: 0.00 μB/f.u. As for the crystal system: cubic.

---

Which value of energy above the lowest structure with this stoichiometry does entry 3 give?
0.0000 eV per atom